VASP calculation (PBE) on a relaxed PRhCl2 crystal.

Results
Crystal system: orthorhombic
Space group: Fmmm, No. 69
Distance to the lowest polymorph of the same formula (kJ per mole of atoms): 108.8
Formation energy (no corrections) (eV/atom): 0.391

Lattice parameters (Å, degrees): 5.0360 4.8457 4.2292 67.01 62.35 50.63
Closest atoms and distances in Å follow each position.
Element x y z (fractional)
P 0.0000 0.0000 0.0000  4 Cl 2.52
Rh 0.5000 0.5000 0.5000  4 Cl 2.52
Cl 0.0000 0.5000 0.5000  2 Rh 2.52, 2 P 2.52
Cl 0.5000 0.0000 0.0000  2 Rh 2.52, 2 P 2.52

=====

VASP calculation (PBE) on a relaxed NdSn3Se6 crystal.

Results
Crystal system: monoclinic
Space group: P2_1/m, No. 11
Formation energy (no corrections) (eV/atom): -0.719

Lattice parameters (Å, degrees): 12.1211 4.0828 12.1931 90.00 113.56 90.00
Closest atoms and distances in Å follow each position.
Element x y z (fractional)
Nd 0.2128 0.2500 0.0582  8 Se 3.02-3.18
Nd 0.7872 0.7500 0.9418  8 Se 3.02-3.18
Sn 0.0517 0.7500 0.2886  6 Se 2.70-3.00
Sn 0.3534 0.2500 0.4756  3 Se 2.75-2.82
Sn 0.3761 0.7500 0.8378  4 Se 2.69-2.71
Sn 0.6239 0.2500 0.1622  4 Se 2.69-2.71
Sn 0.6466 0.7500 0.5244  3 Se 2.75-2.82
Sn 0.9483 0.2500 0.7114  6 Se 2.70-3.00
Se 0.0254 0.7500 0.9028  2 Sn 2.96, 3 Nd 3.08-3.11
Se 0.1213 0.2500 0.4610  3 Sn 2.75-2.81
Se 0.2174 0.2500 0.7993  3 Sn 2.71-3.00
Se 0.2583 0.7500 0.2540  1 Sn 2.70, 2 Nd 3.02
Se 0.4094 0.7500 0.0693  1 Sn 2.69
Se 0.4409 0.7500 0.6489  3 Sn 2.71-2.82
Se 0.5591 0.2500 0.3511  3 Sn 2.71-2.82
Se 0.5906 0.2500 0.9307  1 Sn 2.69
Se 0.7417 0.2500 0.7460  1 Sn 2.70, 2 Nd 3.02
Se 0.7826 0.7500 0.2007  3 Sn 2.71-3.00
Se 0.8787 0.7500 0.5390  3 Sn 2.75-2.81
Se 0.9746 0.2500 0.0972  2 Sn 2.96, 3 Nd 3.08-3.11

=====

VASP calculation (PBE) on a relaxed TlVOsW2 crystal.

Results
Energy of formation from the pure elements (eV per atom): 3.36
Crystal system: tetragonal
Space group: P4/mmm, No. 123

Lattice parameters (Å, degrees): 4.8997 4.8997 4.8119 90.00 90.00 90.00
Closest atoms and distances in Å follow each position.
Element x y z (fractional)
Tl 0.0000 0.0000 0.0000  2 Os 2.41, 4 W 2.45
V 0.5000 0.5000 0.5000  8 W 3.43, 4 Os 3.46
Os 0.0000 0.0000 0.5000  2 Tl 2.41
W 0.0000 0.5000 0.0000  2 Tl 2.45
W 0.5000 0.0000 0.0000  2 Tl 2.45

=====

VASP calculation (PBE) on a relaxed LiSnPbSe3 crystal.

Results
Crystal system: monoclinic
Space group: P2_1/m, No. 11
Formation energy (no corrections) (eV/atom): -0.592

Lattice parameters (Å, degrees): 8.6170 4.0762 8.9829 90.00 103.32 90.00
Closest atoms and distances in Å follow each position.
Element x y z (fractional)
Li 0.0822 0.2500 0.0907  4 Se 2.54-2.59, 2 Li 2.78
Li 0.9178 0.7500 0.9093  4 Se 2.54-2.59, 2 Li 2.78
Sn 0.3259 0.7500 0.3457  6 Se 2.84-2.90
Sn 0.6741 0.2500 0.6543  6 Se 2.84-2.90
Pb 0.1974 0.2500 0.7487  7 Se 3.11-3.30, 1 Li 3.44
Pb 0.8026 0.7500 0.2513  7 Se 3.11-3.30, 1 Li 3.44
Se 0.1056 0.2500 0.3775  1 Li 2.54
Se 0.2243 0.7500 0.0161  3 Li 2.55-2.59
Se 0.4402 0.7500 0.6727  3 Sn 2.87-2.90, 2 Pb 3.11
Se 0.5598 0.2500 0.3273  3 Sn 2.87-2.90, 2 Pb 3.11
Se 0.7757 0.2500 0.9839  3 Li 2.55-2.59
Se 0.8944 0.7500 0.6225  1 Li 2.54

=====

VASP calculation (PBE) on a relaxed Ce4Ru3 crystal.

Results
Energy of formation from the pure elements (eV per atom): -0.37
Crystal system: monoclinic
Space group: C2/m, No. 12
Distance to the lowest polymorph of the same formula (kJ per mole of atoms): 0.0

Lattice parameters (Å, degrees): 8.0150 8.0150 5.9857 103.70 103.70 116.21
Closest atoms and distances in Å follow each position.
Element x y z (fractional)
Ce 0.1202 0.3875 0.6631  2 Ru 2.70-2.98
Ce 0.1663 0.8337 0.0000  6 Ru 2.73-2.90
Ce 0.3495 0.3495 0.2248  3 Ru 2.72-3.00
Ce 0.3875 0.1202 0.6631  2 Ru 2.70-2.98
Ce 0.6125 0.8798 0.3369  2 Ru 2.70-2.98
Ce 0.6505 0.6505 0.7752  3 Ru 2.72-3.00
Ce 0.8337 0.1663 0.0000  6 Ru 2.73-2.90
Ce 0.8798 0.6125 0.3369  2 Ru 2.70-2.98
Ru 0.0088 0.0088 0.7520  5 Ce 2.73-3.00, 2 Ru 2.95-3.04
Ru 0.1791 0.5779 0.2454  4 Ce 2.70-2.90, 1 Ru 2.81
Ru 0.4221 0.8209 0.7546  4 Ce 2.70-2.90, 1 Ru 2.81
Ru 0.5779 0.1791 0.2454  4 Ce 2.70-2.90, 1 Ru 2.81
Ru 0.8209 0.4221 0.7546  4 Ce 2.70-2.90, 1 Ru 2.81
Ru 0.9912 0.9912 0.2480  5 Ce 2.73-3.00, 2 Ru 2.95-3.04

=====

VASP calculation (PBE) on a relaxed LaZrFe2 crystal.

Results
Energy of formation from the pure elements (eV per atom): 0.09
Crystal system: orthorhombic
Space group: Amm2, No. 38

Lattice parameters (Å, degrees): 3.7276 5.9319 5.9319 38.49 90.00 90.00
Closest atoms and distances in Å follow each position.
Element x y z (fractional)
La 0.0000 0.0000 0.0000  7 Fe 2.98-3.20
Zr 0.5000 0.2837 0.2837  6 Fe 2.75-2.78
Fe 0.0000 0.7257 0.7257  2 Fe 2.26
Fe 0.5000 0.6113 0.6113  2 Fe 2.26

=====

VASP calculation (PBE) on a relaxed SrBSeBr2 crystal.

Results
Crystal system: tetragonal
Space group: P4/mmm, No. 123
Distance to the lowest polymorph of the same formula (kJ per mole of atoms): 0.0
Formation energy (no corrections) (eV/atom): -0.451

Lattice parameters (Å, degrees): 4.9459 4.9459 4.7378 90.00 90.00 90.00
Closest atoms and distances in Å follow each position.
Element x y z (fractional)
Sr 0.0000 0.0000 0.0000  8 Br 3.42, 4 Se 3.50
B 0.5000 0.5000 0.5000  2 Se 2.37, 4 Br 2.47
Se 0.5000 0.5000 0.0000  2 B 2.37
Br 0.0000 0.5000 0.5000  2 B 2.47
Br 0.5000 0.0000 0.5000  2 B 2.47

=====

VASP calculation (PBE) on a relaxed LaLuCdCu crystal.

Results
Energy of formation from the pure elements (eV per atom): -0.19
Crystal system: cubic
Space group: F-43m, No. 216

Lattice parameters (Å, degrees): 5.2182 5.2182 5.2182 60.00 60.00 60.00
Closest atoms and distances in Å follow each position.
Element x y z (fractional)
La 0.0000 0.0000 0.0000  4 Cd 3.20, 4 Cu 3.20
Lu 0.5000 0.5000 0.5000  4 Cd 3.20, 4 Cu 3.20
Cd 0.7500 0.7500 0.7500  4 La 3.20, 4 Lu 3.20
Cu 0.2500 0.2500 0.2500  4 La 3.20, 4 Lu 3.20

=====

VASP calculation (PBE) on a relaxed BaHfVPt2 crystal.

Results
Energy of formation from the pure elements (eV per atom): 1.82
Crystal system: tetragonal
Space group: P4/mmm, No. 123

Lattice parameters (Å, degrees): 5.2367 5.2367 4.9305 90.00 90.00 90.00
Closest atoms and distances in Å follow each position.
Element x y z (fractional)
Ba 0.0000 0.0000 0.0000  2 V 2.47, 4 Pt 2.62
Hf 0.5000 0.5000 0.5000  8 Pt 3.60, 4 V 3.70
V 0.0000 0.0000 0.5000  2 Ba 2.47
Pt 0.0000 0.5000 0.0000  2 Ba 2.62
Pt 0.5000 0.0000 0.0000  2 Ba 2.62

=====

VASP calculation (PBE) on a relaxed RbPaS2O crystal.

Results
Crystal system: monoclinic
Space group: P2_1/m, No. 11
Formation energy (no corrections) (eV/atom): -2.088

Lattice parameters (Å, degrees): 7.9453 4.1597 9.0984 90.00 106.77 90.00
Closest atoms and distances in Å follow each position.
Element x y z (fractional)
Rb 0.1974 0.2500 0.3087  2 O 2.87
Rb 0.8026 0.7500 0.6913  2 O 2.87
Pa 0.3104 0.2500 0.8226  1 O 1.89
Pa 0.6896 0.7500 0.1774  1 O 1.89
S 0.3309 0.7500 0.0350  3 Pa 2.77-2.81
S 0.3424 0.7500 0.6441  2 Pa 2.70
S 0.6576 0.2500 0.3559  2 Pa 2.70
S 0.6691 0.2500 0.9650  3 Pa 2.77-2.81
O 0.0618 0.2500 0.7668  1 Pa 1.89
O 0.9382 0.7500 0.2332  1 Pa 1.89